No. 1
Compound: TiB2Ir2
Source: Alexandria
Functional: PBE
Structure: relaxed

Unit cell a=5.154 b=5.154 c=5.154 alpha=136.97 beta=136.97 gamma=62.49
Sites, in units of the cell vectors:
Ti (0.000, 0.000, 0.000)
B (0.250, 0.750, 0.500)
B (0.750, 0.250, 0.500)
Ir (0.358, 0.358, 0.000)
Ir (0.642, 0.642, 0.000)

Properties
ρ ... 11.966 g/cm³
Total magnetization ... 0.0 μB per formula unit
Density of states at the Fermi level ... 0.71 states/eV/atom
Energy relative to the elements ... -0.22 eV per atom

***

No. 2
Compound: TiBIr
Source: Alexandria
Functional: PBE
Structure: relaxed

Unit cell a=3.953 b=3.953 c=5.156 alpha=90.00 beta=90.00 gamma=107.32
Sites, in units of the cell vectors:
Ti (0.140, 0.860, 0.750)
Ti (0.860, 0.140, 0.250)
B (0.219, 0.781, 0.250)
B (0.781, 0.219, 0.750)
Ir (0.500, 0.500, 0.000)
Ir (0.500, 0.500, 0.500)

Properties
ρ ... 10.836 g/cm³
Total magnetization ... 0.0 μB per formula unit
Density of states at the Fermi level ... 0.78 states/eV/atom
Energy relative to the elements ... -0.23 eV per atom
Offset from the most stable computed form ... 48.14 kJ per mole of atoms

***

No. 3
Compound: Ti2BIr2
Source: Alexandria
Functional: PBE
Structure: relaxed

Unit cell a=7.241 b=7.241 c=2.945 alpha=90.00 beta=90.00 gamma=90.00
Sites, in units of the cell vectors:
Ti (0.165, 0.335, 0.000)
Ti (0.335, 0.835, 0.000)
Ti (0.665, 0.165, 0.000)
Ti (0.835, 0.665, 0.000)
B (0.000, 0.000, 0.000)
B (0.500, 0.500, 0.000)
Ir (0.135, 0.635, 0.500)
Ir (0.365, 0.135, 0.500)
Ir (0.635, 0.865, 0.500)
Ir (0.865, 0.365, 0.500)

Properties
ρ ... 10.559 g/cm³
Total magnetization ... 0.0 μB per formula unit
Density of states at the Fermi level ... 0.77 states/eV/atom
Energy relative to the elements ... 0.15 eV per atom
Offset from the most stable computed form ... 0.00 kJ per mole of atoms

***

No. 4
Compound: TiB2Ir
Source: Alexandria
Functional: PBE
Structure: relaxed

Unit cell a=3.888 b=3.888 c=3.888 alpha=60.00 beta=60.00 gamma=60.00
Sites, in units of the cell vectors:
Ti (0.000, 0.000, 0.000)
B (0.250, 0.250, 0.250)
B (0.750, 0.750, 0.750)
Ir (0.500, 0.500, 0.500)

Properties
ρ ... 10.457 g/cm³
Total magnetization ... 0.0 μB per formula unit
Density of states at the Fermi level ... 0.96 states/eV/atom
Energy relative to the elements ... -0.09 eV per atom
Offset from the most stable computed form ... 0.00 kJ per mole of atoms

***

No. 5
Compound: Ti2ZnB2Ir5
Source: Alexandria
Functional: PBE
Structure: relaxed

Unit cell a=9.310 b=9.310 c=3.008 alpha=90.00 beta=90.00 gamma=90.00
Sites, in units of the cell vectors:
Ti (0.177, 0.323, 0.000)
Ti (0.323, 0.823, 0.000)
Ti (0.677, 0.177, 0.000)
Ti (0.823, 0.677, 0.000)
Zn (0.000, 0.000, 0.000)
Zn (0.500, 0.500, 0.000)
B (0.126, 0.626, 0.000)
B (0.374, 0.126, 0.000)
B (0.626, 0.874, 0.000)
B (0.874, 0.374, 0.000)
Ir (0.000, 0.500, 0.500)
Ir (0.071, 0.784, 0.500)
Ir (0.216, 0.071, 0.500)
Ir (0.284, 0.571, 0.500)
Ir (0.429, 0.284, 0.500)
Ir (0.500, 0.000, 0.500)
Ir (0.571, 0.716, 0.500)
Ir (0.716, 0.429, 0.500)
Ir (0.784, 0.929, 0.500)
Ir (0.929, 0.216, 0.500)

Properties
ρ ... 14.572 g/cm³
Total magnetization ... 0.5 μB per formula unit
Density of states at the Fermi level ... 0.35 states/eV/atom
Energy relative to the elements ... -0.64 eV per atom

***

No. 6
Compound: TlBIr3
Source: Alexandria
Functional: PBE
Structure: relaxed

Unit cell a=5.005 b=5.005 c=5.005 alpha=90.00 beta=90.00 gamma=90.00
Sites, in units of the cell vectors:
Tl (0.000, 0.000, 0.000)
B (0.500, 0.500, 0.500)
Ir (0.000, 0.000, 0.500)
Ir (0.000, 0.500, 0.000)
Ir (0.500, 0.000, 0.000)

Properties
ρ ... 10.489 g/cm³
Total magnetization ... 1.4 μB per formula unit
Density of states at the Fermi level ... 1.93 states/eV/atom
Energy relative to the elements ... 3.31 eV per atom
Offset from the most stable computed form ... 300.41 kJ per mole of atoms

***

No. 7
Compound: TlBIr3
Source: Alexandria
Functional: PBE
Structure: relaxed

Unit cell a=4.213 b=4.213 c=4.213 alpha=90.00 beta=90.00 gamma=90.00
Sites, in units of the cell vectors:
Tl (0.000, 0.000, 0.000)
B (0.500, 0.500, 0.500)
Ir (0.000, 0.500, 0.500)
Ir (0.500, 0.000, 0.500)
Ir (0.500, 0.500, 0.000)

Properties
ρ ... 17.590 g/cm³
Total magnetization ... 0.0 μB per formula unit
Density of states at the Fermi level ... 0.68 states/eV/atom
Energy relative to the elements ... 0.19 eV per atom
Offset from the most stable computed form ... 0.00 kJ per mole of atoms

***

No. 8
Compound: TlBIr2
Source: Alexandria
Functional: PBE
Structure: relaxed

Unit cell a=5.487 b=5.487 c=5.487 alpha=104.75 beta=104.75 gamma=119.39
Sites, in units of the cell vectors:
Tl (0.000, 0.000, 0.000)
Tl (0.750, 0.250, 0.500)
B (0.250, 0.750, 0.500)
B (0.500, 0.500, 0.000)
Ir (0.224, 0.125, 0.599)
Ir (0.375, 0.776, 0.901)
Ir (0.526, 0.625, 0.401)
Ir (0.875, 0.474, 0.099)

Properties
ρ ... 16.027 g/cm³
Total magnetization ... 0.0 μB per formula unit
Density of states at the Fermi level ... 0.31 states/eV/atom
Energy relative to the elements ... 0.23 eV per atom
Offset from the most stable computed form ... 0.00 kJ per mole of atoms

***

No. 9
Compound: TlBIr2
Source: Alexandria
Functional: PBE
Structure: relaxed

Unit cell a=4.385 b=4.385 c=4.385 alpha=60.00 beta=60.00 gamma=60.00
Sites, in units of the cell vectors:
Tl (0.000, 0.000, 0.000)
B (0.500, 0.500, 0.500)
Ir (0.250, 0.250, 0.250)
Ir (0.750, 0.750, 0.750)

Properties
ρ ... 16.702 g/cm³
Total magnetization ... 0.0 μB per formula unit
Density of states at the Fermi level ... 0.25 states/eV/atom
Energy relative to the elements ... 1.05 eV per atom
Offset from the most stable computed form ... 78.71 kJ per mole of atoms

***

No. 10
Compound: TlB2Ir2
Source: Alexandria
Functional: PBE
Structure: relaxed

Unit cell a=7.804 b=7.804 c=7.804 alpha=157.77 beta=157.77 gamma=31.64
Sites, in units of the cell vectors:
Tl (0.000, 0.000, 0.000)
B (0.250, 0.750, 0.500)
B (0.750, 0.250, 0.500)
Ir (0.351, 0.351, 0.000)
Ir (0.649, 0.649, 0.000)

Properties
ρ ... 14.919 g/cm³
Total magnetization ... 0.0 μB per formula unit
Density of states at the Fermi level ... 0.55 states/eV/atom
Energy relative to the elements ... 0.02 eV per atom

***

No. 11
Compound: TlV2BIr
Source: Alexandria
Functional: PBE
Structure: relaxed

Unit cell a=4.939 b=4.939 c=3.902 alpha=90.00 beta=90.00 gamma=90.00
Sites, in units of the cell vectors:
Tl (0.000, 0.000, 0.000)
V (0.000, 0.500, 0.000)
V (0.500, 0.000, 0.000)
B (0.000, 0.000, 0.500)
Ir (0.500, 0.500, 0.500)

Properties
ρ ... 8.886 g/cm³
Total magnetization ... 0.0 μB per formula unit
Density of states at the Fermi level ... 3.43 states/eV/atom
Energy relative to the elements ... 2.37 eV per atom

***

No. 12
Compound: TmB3Ir6
Source: Alexandria
Functional: PBE
Structure: relaxed

Unit cell a=6.134 b=6.134 c=6.134 alpha=52.80 beta=52.80 gamma=52.80
Sites, in units of the cell vectors:
Tm (0.000, 0.000, 0.000)
B (0.301, 0.301, 0.301)
B (0.634, 0.634, 0.634)
B (0.835, 0.835, 0.835)
Ir (0.064, 0.561, 0.565)
Ir (0.306, 0.451, 0.877)
Ir (0.451, 0.877, 0.306)
Ir (0.561, 0.565, 0.064)
Ir (0.565, 0.064, 0.561)
Ir (0.877, 0.306, 0.451)

Properties
ρ ... 16.589 g/cm³
Total magnetization ... 0.0 μB per formula unit
Density of states at the Fermi level ... 0.54 states/eV/atom
Energy relative to the elements ... -0.34 eV per atom

***

No. 13
Compound: Tm3B7Ir
Source: Alexandria
Functional: PBE
Structure: relaxed

Unit cell a=7.963 b=7.963 c=9.282 alpha=90.00 beta=90.00 gamma=154.92
Sites, in units of the cell vectors:
Tm (0.107, 0.893, 0.559)
Tm (0.107, 0.893, 0.941)
Tm (0.248, 0.752, 0.250)
Tm (0.752, 0.248, 0.750)
Tm (0.893, 0.107, 0.059)
Tm (0.893, 0.107, 0.441)
B (0.273, 0.727, 0.533)
B (0.273, 0.727, 0.967)
B (0.367, 0.633, 0.651)
B (0.367, 0.633, 0.849)
B (0.452, 0.548, 0.250)
B (0.481, 0.519, 0.595)
B (0.481, 0.519, 0.905)
B (0.519, 0.481, 0.095)
B (0.519, 0.481, 0.405)
B (0.548, 0.452, 0.750)
B (0.633, 0.367, 0.151)
B (0.633, 0.367, 0.349)
B (0.727, 0.273, 0.033)
B (0.727, 0.273, 0.467)
Ir (0.052, 0.948, 0.250)
Ir (0.948, 0.052, 0.750)

Properties
ρ ... 10.312 g/cm³
Total magnetization ... 0.0 μB per formula unit
Density of states at the Fermi level ... 0.16 states/eV/atom
Energy relative to the elements ... -0.66 eV per atom

***

No. 14
Compound: TmB4Ir4
Source: Alexandria
Functional: PBE
Structure: relaxed

Unit cell a=5.395 b=5.395 c=7.449 alpha=90.00 beta=90.00 gamma=90.00
Sites, in units of the cell vectors:
Tm (0.250, 0.750, 0.250)
Tm (0.750, 0.250, 0.750)
B (0.078, 0.250, 0.097)
B (0.250, 0.078, 0.597)
B (0.250, 0.422, 0.597)
B (0.422, 0.250, 0.097)
B (0.578, 0.750, 0.903)
B (0.750, 0.578, 0.403)
B (0.750, 0.922, 0.403)
B (0.922, 0.750, 0.903)
Ir (0.001, 0.750, 0.605)
Ir (0.250, 0.501, 0.895)
Ir (0.250, 0.999, 0.895)
Ir (0.499, 0.750, 0.605)
Ir (0.501, 0.250, 0.395)
Ir (0.750, 0.001, 0.105)
Ir (0.750, 0.499, 0.105)
Ir (0.999, 0.250, 0.395)

Properties
ρ ... 15.026 g/cm³
Total magnetization ... 0.0 μB per formula unit
Density of states at the Fermi level ... 0.38 states/eV/atom
Energy relative to the elements ... -0.50 eV per atom
Offset from the most stable computed form ... 3.36 kJ per mole of atoms

***

No. 15
Compound: TmB4Ir4
Source: Alexandria
Functional: PBE
Structure: relaxed

Unit cell a=7.617 b=7.617 c=3.992 alpha=90.00 beta=90.00 gamma=90.00
Sites, in units of the cell vectors:
Tm (0.250, 0.250, 0.250)
Tm (0.750, 0.750, 0.750)
B (0.027, 0.907, 0.137)
B (0.093, 0.527, 0.637)
B (0.407, 0.973, 0.637)
B (0.473, 0.593, 0.137)
B (0.527, 0.407, 0.863)
B (0.593, 0.027, 0.363)
B (0.907, 0.473, 0.363)
B (0.973, 0.093, 0.863)
Ir (0.089, 0.641, 0.135)
Ir (0.141, 0.911, 0.635)
Ir (0.359, 0.589, 0.635)
Ir (0.411, 0.859, 0.135)
Ir (0.589, 0.141, 0.865)
Ir (0.641, 0.411, 0.365)
Ir (0.859, 0.089, 0.365)
Ir (0.911, 0.359, 0.865)

Properties
ρ ... 14.066 g/cm³
Total magnetization ... 0.0 μB per formula unit
Density of states at the Fermi level ... 0.32 states/eV/atom
Energy relative to the elements ... -0.54 eV per atom
Offset from the most stable computed form ... 0.00 kJ per mole of atoms

***

No. 16
Compound: TmB5Ir6
Source: Alexandria
Functional: PBE
Structure: relaxed

Unit cell a=5.530 b=5.530 c=6.355 alpha=103.88 beta=103.88 gamma=116.20
Sites, in units of the cell vectors:
Tm (0.000, 0.000, 0.000)
B (0.095, 0.905, 0.500)
B (0.319, 0.681, 0.000)
B (0.500, 0.500, 0.500)
B (0.681, 0.319, 0.000)
B (0.905, 0.095, 0.500)
Ir (0.129, 0.617, 0.252)
Ir (0.363, 0.363, 0.741)
Ir (0.383, 0.871, 0.748)
Ir (0.617, 0.129, 0.252)
Ir (0.637, 0.637, 0.259)
Ir (0.871, 0.383, 0.748)

Properties
ρ ... 14.709 g/cm³
Total magnetization ... 0.0 μB per formula unit
Density of states at the Fermi level ... 0.19 states/eV/atom
Energy relative to the elements ... -0.44 eV per atom

***

No. 17
Compound: TmBIr2
Source: Alexandria
Functional: PBE
Structure: relaxed

Unit cell a=6.614 b=6.614 c=6.614 alpha=30.01 beta=30.01 gamma=30.01
Sites, in units of the cell vectors:
Tm (0.000, 0.000, 0.000)
B (0.500, 0.500, 0.500)
Ir (0.219, 0.219, 0.219)
Ir (0.781, 0.781, 0.781)

Properties
ρ ... 14.613 g/cm³
Total magnetization ... 0.0 μB per formula unit
Density of states at the Fermi level ... 0.48 states/eV/atom
Energy relative to the elements ... -0.27 eV per atom

***

No. 18
Compound: TmB6Ir12
Source: Alexandria
Functional: PBE
Structure: relaxed

Unit cell a=6.545 b=6.545 c=6.545 alpha=104.14 beta=104.14 gamma=104.14
Sites, in units of the cell vectors:
Tm (0.000, 0.000, 0.000)
B (0.231, 0.231, 0.668)
B (0.231, 0.668, 0.231)
B (0.332, 0.769, 0.769)
B (0.668, 0.231, 0.231)
B (0.769, 0.332, 0.769)
B (0.769, 0.769, 0.332)
Ir (0.135, 0.500, 0.865)
Ir (0.135, 0.865, 0.500)
Ir (0.184, 0.444, 0.444)
Ir (0.444, 0.184, 0.444)
Ir (0.444, 0.444, 0.184)
Ir (0.500, 0.135, 0.865)
Ir (0.500, 0.865, 0.135)
Ir (0.556, 0.556, 0.816)
Ir (0.556, 0.816, 0.556)
Ir (0.816, 0.556, 0.556)
Ir (0.865, 0.135, 0.500)
Ir (0.865, 0.500, 0.135)

Properties
ρ ... 16.910 g/cm³
Total magnetization ... 0.0 μB per formula unit
Density of states at the Fermi level ... 0.72 states/eV/atom
Energy relative to the elements ... -0.24 eV per atom

***

No. 19
Compound: TmBIr2
Source: Alexandria
Functional: PBE
Structure: relaxed

Unit cell a=4.197 b=4.197 c=4.709 alpha=90.00 beta=90.00 gamma=120.00
Sites, in units of the cell vectors:
Tm (0.000, 0.000, 0.000)
B (0.000, 0.000, 0.500)
Ir (0.333, 0.667, 0.500)
Ir (0.667, 0.333, 0.500)

Properties
ρ ... 13.041 g/cm³
Total magnetization ... 0.0 μB per formula unit
Density of states at the Fermi level ... 1.02 states/eV/atom
Energy relative to the elements ... 0.05 eV per atom

***

No. 20
Compound: TmB3Ir5
Source: Alexandria
Functional: PBE
Structure: relaxed

Unit cell a=5.089 b=5.089 c=14.969 alpha=90.00 beta=90.00 gamma=141.47
Sites, in units of the cell vectors:
Tm (0.196, 0.804, 0.750)
Tm (0.804, 0.196, 0.250)
B (0.061, 0.939, 0.250)
B (0.360, 0.640, 0.539)
B (0.360, 0.640, 0.961)
B (0.640, 0.360, 0.039)
B (0.640, 0.360, 0.461)
B (0.939, 0.061, 0.750)
Ir (0.000, 0.000, 0.000)
Ir (0.000, 0.000, 0.500)
Ir (0.258, 0.742, 0.087)
Ir (0.258, 0.742, 0.413)
Ir (0.471, 0.529, 0.660)
Ir (0.471, 0.529, 0.840)
Ir (0.529, 0.471, 0.160)
Ir (0.529, 0.471, 0.340)
Ir (0.742, 0.258, 0.587)
Ir (0.742, 0.258, 0.913)

Properties
ρ ... 15.988 g/cm³
Total magnetization ... 0.0 μB per formula unit
Density of states at the Fermi level ... 0.56 states/eV/atom
Energy relative to the elements ... -0.27 eV per atom

***

No. 21
Compound: TmB4Ir
Source: Alexandria
Functional: PBE
Structure: relaxed

Unit cell a=5.939 b=11.529 c=3.554 alpha=90.00 beta=90.00 gamma=90.00
Sites, in units of the cell vectors:
Tm (0.132, 0.149, 0.000)
Tm (0.368, 0.649, 0.000)
Tm (0.632, 0.351, 0.000)
Tm (0.868, 0.851, 0.000)
B (0.023, 0.693, 0.500)
B (0.113, 0.547, 0.500)
B (0.136, 0.970, 0.500)
B (0.207, 0.812, 0.500)
B (0.293, 0.312, 0.500)
B (0.364, 0.470, 0.500)
B (0.387, 0.047, 0.500)
B (0.477, 0.193, 0.500)
B (0.523, 0.807, 0.500)
B (0.613, 0.953, 0.500)
B (0.636, 0.530, 0.500)
B (0.707, 0.688, 0.500)
B (0.793, 0.188, 0.500)
B (0.864, 0.030, 0.500)
B (0.887, 0.453, 0.500)
B (0.977, 0.307, 0.500)
Ir (0.145, 0.403, 0.000)
Ir (0.355, 0.903, 0.000)
Ir (0.645, 0.097, 0.000)
Ir (0.855, 0.597, 0.000)

Properties
ρ ... 11.037 g/cm³
Total magnetization ... 0.0 μB per formula unit
Density of states at the Fermi level ... 0.14 states/eV/atom
Energy relative to the elements ... -0.61 eV per atom

***

No. 22
Compound: TmB2Ir5
Source: Alexandria
Functional: PBE
Structure: relaxed

Unit cell a=5.868 b=5.868 c=5.868 alpha=140.76 beta=114.83 gamma=78.79
Sites, in units of the cell vectors:
Tm (0.000, 0.000, 0.000)
B (0.261, 0.761, 0.500)
B (0.739, 0.239, 0.500)
Ir (0.140, 0.352, 0.788)
Ir (0.436, 0.648, 0.788)
Ir (0.500, 0.000, 0.500)
Ir (0.564, 0.352, 0.212)
Ir (0.860, 0.648, 0.212)

Properties
ρ ... 16.928 g/cm³
Total magnetization ... 0.0 μB per formula unit
Density of states at the Fermi level ... 0.71 states/eV/atom
Energy relative to the elements ... -0.39 eV per atom